First-principles (PBE+U) data for NaSm2MoO6 after structural relaxation, as listed in Alexandria.

Structure (POSCAR):
```
NaSm2MoO6
1.0
-5.2146 1.9980 1.2973
-3.8381 0.9610 -4.2157
-4.6256 -3.7300 -0.6002
O Sm Mo Na
6 2 1 1
Direct
0.4141 0.6799 0.7685 O
0.1385 0.4099 0.7813 O
0.9700 0.5738 0.2423 O
0.5632 0.2199 0.2367 O
0.6748 0.1305 0.7789 O
0.2080 0.9707 0.2445 O
0.5347 0.5344 0.4099 Sm
0.0313 0.0180 0.9224 Sm
0.3191 0.3200 0.0422 Mo
0.8078 0.8045 0.5885 Na
```

Calculated values
Total energy: -0.2695 hartree per atom
Crystal system: triclinic